Entry 1:
! CsTaCo3 (GGA-PBE, optimized geometry); values from VASP
! Space-group type   No. 221
! Energy of formation from the pure elements   33.58 kcal/mol of atoms
! E above lowest polymorph   0.0000 eV per atom
! Uncorrected energy   -5.3485 eV/atom
&SYSTEM
  ibrav = 0, nat = 5, ntyp = 3
/
ATOMIC_SPECIES
Cs 132.91 Cs.upf
Co 58.93 Co.upf
Ta 180.95 Ta.upf
ATOMIC_POSITIONS crystal
Cs 0.500 0.500 0.500
Co 0.000 0.500 0.000
Co 0.000 0.000 0.500
Co 0.500 0.000 0.000
Ta 0.000 0.000 0.000
CELL_PARAMETERS angstrom
-4.332 1.712 -0.993
-1.327 -4.285 -1.601
-1.469 -1.179 4.375



Entry 2:
! Ti4InCl8 (GGA-PBE, optimized geometry); values from VASP
! Space-group type   No. 8
! Raw formation energy   -1611.5 kJ/mol of formula units
! Uncorrected energy   -5.0610 eV/atom
&SYSTEM
  ibrav = 0, nat = 13, ntyp = 3
/
ATOMIC_SPECIES
Cl 35.45 Cl.upf
Ti 47.87 Ti.upf
In 114.82 In.upf
ATOMIC_POSITIONS crystal
Cl 0.432 0.353 0.783
Cl 0.167 0.048 0.618
Cl 0.853 0.687 0.608
Cl 0.178 0.317 0.326
Cl 0.599 0.650 0.151
Cl 0.212 0.703 0.873
Cl 0.819 0.301 0.061
Cl 0.864 0.956 0.315
Ti 0.713 0.126 0.449
Ti 0.318 0.878 0.485
Ti 0.816 0.504 0.863
Ti 0.215 0.499 0.071
In 0.516 0.001 0.967
CELL_PARAMETERS angstrom
-1.052 1.484 -2.694
4.386 -5.049 -6.456
-7.066 -8.070 -3.648



Entry 3:
! Dy4NiIr2 (GGA-PBE, optimized geometry); values from VASP
! Space-group type   No. 166
! Energy of formation from the pure elements   -16.20 kcal/mol of atoms
! Uncorrected energy   -6.6899 eV/atom
&SYSTEM
  ibrav = 0, nat = 7, ntyp = 3
/
ATOMIC_SPECIES
Dy 162.50 Dy.upf
Ni 58.69 Ni.upf
Ir 192.22 Ir.upf
ATOMIC_POSITIONS crystal
Dy 0.125 0.125 0.624
Dy 0.376 0.376 0.873
Dy 0.624 0.624 0.127
Dy 0.875 0.875 0.376
Ni 0.000 0.000 0.000
Ir 0.749 0.749 0.752
Ir 0.251 0.251 0.248
CELL_PARAMETERS angstrom
4.586 0.000 1.433
2.069 4.093 1.433
-0.085 -0.052 8.327



Entry 4:
! Te3PbBr (GGA-PBE, optimized geometry); values from VASP
! Space-group type   No. 221
! Raw formation energy   298.3 kJ/mol of formula units
! E above lowest polymorph   0.1449 eV per atom
! Uncorrected energy   -2.3429 eV/atom
&SYSTEM
  ibrav = 0, nat = 5, ntyp = 3
/
ATOMIC_SPECIES
Te 127.60 Te.upf
Br 79.90 Br.upf
Pb 207.20 Pb.upf
ATOMIC_POSITIONS crystal
Te 0.000 0.500 0.000
Te 0.000 0.000 0.500
Te 0.500 0.000 0.000
Br 0.500 0.500 0.500
Pb 0.000 0.000 0.000
CELL_PARAMETERS angstrom
5.876 0.000 0.000
0.000 5.876 0.000
0.000 0.000 5.876



Entry 5:
! AcPm6Dy4 (GGA-PBE, optimized geometry); values from VASP
! Space-group type   No. 63
! Energy of formation from the pure elements   2.95 kcal/mol of atoms
! Uncorrected energy   -4.5104 eV/atom
&SYSTEM
  ibrav = 0, nat = 22, ntyp = 3
/
ATOMIC_SPECIES
Pm 145.00 Pm.upf
Dy 162.50 Dy.upf
Ac 227.00 Ac.upf
ATOMIC_POSITIONS crystal
Pm 0.500 0.000 0.500
Pm 0.563 0.127 0.750
Pm 0.205 0.410 0.903
Pm 0.500 0.000 0.000
Pm 0.886 0.771 0.821
Pm 0.795 0.590 0.097
Pm 0.886 0.771 0.679
Pm 0.437 0.873 0.250
Pm 0.114 0.229 0.321
Pm 0.205 0.410 0.597
Pm 0.795 0.590 0.403
Pm 0.114 0.229 0.179
Dy 0.449 0.897 0.377
Dy 0.148 0.297 0.457
Dy 0.551 0.103 0.623
Dy 0.852 0.703 0.543
Dy 0.449 0.897 0.123
Dy 0.551 0.103 0.877
Dy 0.852 0.703 0.957
Dy 0.148 0.297 0.043
Ac 0.779 0.558 0.250
Ac 0.221 0.442 0.750
CELL_PARAMETERS angstrom
5.973 0.000 0.000
-2.987 4.891 0.000
0.000 0.000 25.877



Entry 6:
! Ba2NaPdW (GGA-PBE, optimized geometry); values from VASP
! Space-group type   No. 123
! Energy of formation from the pure elements   34.91 kcal/mol of atoms
! Uncorrected energy   -3.1482 eV/atom
&SYSTEM
  ibrav = 0, nat = 5, ntyp = 4
/
ATOMIC_SPECIES
W 183.84 W.upf
Pd 106.42 Pd.upf
Na 22.99 Na.upf
Ba 137.33 Ba.upf
ATOMIC_POSITIONS crystal
W 0.000 0.500 0.000
Pd 0.500 0.500 0.500
Na 0.000 0.000 0.000
Ba 0.500 0.000 0.000
Ba 0.000 0.000 0.500
CELL_PARAMETERS angstrom
6.217 0.000 0.000
0.000 5.177 0.000
0.000 0.000 6.217



Entry 7:
! NiGeRu (GGA-PBE, optimized geometry); values from VASP
! Space-group type   No. 8
! Energy of formation from the pure elements   -4.11 kcal/mol of atoms
! Uncorrected energy   -6.7363 eV/atom
&SYSTEM
  ibrav = 0, nat = 12, ntyp = 3
/
ATOMIC_SPECIES
Ge 72.64 Ge.upf
Ni 58.69 Ni.upf
Ru 101.07 Ru.upf
ATOMIC_POSITIONS crystal
Ge 0.354 0.000 0.110
Ge 0.929 0.500 0.903
Ge 0.929 0.000 0.403
Ge 0.354 0.500 0.610
Ni 0.629 0.500 0.249
Ni 0.629 0.000 0.749
Ni 0.471 0.500 0.930
Ni 0.471 0.000 0.430
Ru 0.146 0.000 0.791
Ru 0.839 0.000 0.074
Ru 0.839 0.500 0.574
Ru 0.146 0.500 0.291
CELL_PARAMETERS angstrom
5.216 0.000 0.008
0.000 3.897 0.000
-1.252 0.000 7.774



Entry 8:
! TaRu (GGA-PBE, optimized geometry); values from VASP
! Space-group type   No. 70
! Energy of formation from the pure elements   2.20 kcal/mol of atoms
! Uncorrected energy   -10.4688 eV/atom
&SYSTEM
  ibrav = 0, nat = 32, ntyp = 2
/
ATOMIC_SPECIES
Ta 180.95 Ta.upf
Ru 101.07 Ru.upf
ATOMIC_POSITIONS crystal
Ta 0.750 0.557 0.750
Ta 0.000 0.693 0.500
Ta 0.500 0.693 0.000
Ta 0.000 0.307 0.500
Ta 0.750 0.443 0.250
Ta 0.500 0.193 0.500
Ta 0.500 0.307 0.000
Ta 0.500 0.807 0.500
Ta 0.000 0.193 0.000
Ta 0.250 0.057 0.750
Ta 0.250 0.557 0.250
Ta 0.750 0.943 0.750
Ta 0.250 0.443 0.750
Ta 0.750 0.057 0.250
Ta 0.250 0.943 0.250
Ta 0.000 0.807 0.000
Ru 0.054 0.250 0.250
Ru 0.696 0.500 0.500
Ru 0.554 0.750 0.250
Ru 0.446 0.250 0.250
Ru 0.696 0.000 0.000
Ru 0.554 0.250 0.750
Ru 0.804 0.500 0.000
Ru 0.054 0.750 0.750
Ru 0.196 0.000 0.500
Ru 0.304 0.500 0.500
Ru 0.304 0.000 0.000
Ru 0.946 0.750 0.250
Ru 0.946 0.250 0.750
Ru 0.446 0.750 0.750
Ru 0.804 0.000 0.500
Ru 0.196 0.500 0.000
CELL_PARAMETERS angstrom
6.788 0.000 0.000
0.000 8.140 0.000
0.000 0.000 10.035